Record 1
The following is a PBE-GGA calculation of a geometry-optimized Cr4SiMo structure, from Alexandria.

Unit cell a=4.7408 b=4.7408 c=4.7408 alpha=60.00 beta=60.00 gamma=60.00
Positions (direct):
Cr 0.3756 0.3756 0.3756
Cr 0.3756 0.3756 0.8731
Cr 0.3756 0.8731 0.3756
Cr 0.8731 0.3756 0.3756
Si 0.7500 0.7500 0.7500
Mo 0.0000 0.0000 0.0000

- raw formation energy (eV/atom) = 0.026


Record 2
The following is a PBE-GGA calculation of a geometry-optimized CrSi2Mo structure, from Alexandria.

Unit cell a=2.8099 b=3.8246 c=5.1253 alpha=90.00 beta=97.67 gamma=90.00
Positions (direct):
Cr 0.0000 0.0000 0.0000
Si 0.1556 0.5000 0.7506
Si 0.8444 0.5000 0.2494
Mo 0.5000 0.0000 0.5000

- energy above the most stable polymorph in this dataset (meV/atom) = 276
- raw formation energy (eV/atom) = -0.056


Record 3
The following is a PBE-GGA calculation of a geometry-optimized CrSi2Mo structure, from Alexandria.

Unit cell a=8.2451 b=8.2451 c=8.2451 alpha=19.35 beta=19.35 gamma=19.35
Positions (direct):
Cr 0.0000 0.0000 0.0000
Si 0.2559 0.2559 0.2559
Si 0.7441 0.7441 0.7441
Mo 0.5000 0.5000 0.5000

- energy above the most stable polymorph in this dataset (meV/atom) = 328
- raw formation energy (eV/atom) = -0.004


Record 4
The following is a PBE-GGA calculation of a geometry-optimized CrSi2Mo structure, from Alexandria.

Unit cell a=4.2405 b=4.2405 c=4.2405 alpha=60.00 beta=60.00 gamma=60.00
Positions (direct):
Cr 0.0000 0.0000 0.0000
Si 0.2500 0.2500 0.2500
Si 0.7500 0.7500 0.7500
Mo 0.5000 0.5000 0.5000

- energy above the most stable polymorph in this dataset (meV/atom) = 265
- raw formation energy (eV/atom) = -0.067